[1]
! PBE AcTb2Pr2, optimized geometry; values from VASP
&SYSTEM
  ibrav = 0, nat = 5, ntyp = 3
/
ATOMIC_SPECIES
Ac 227.00 Ac.upf
Tb 158.93 Tb.upf
Pr 140.91 Pr.upf
ATOMIC_POSITIONS angstrom
Ac 0.0000 0.0000 0.0000
Tb 0.0000 0.0000 5.2964
Tb 0.0000 0.0000 20.6977
Pr 0.0000 0.0000 10.1967
Pr 0.0000 0.0000 15.7973
CELL_PARAMETERS angstrom
-1.8652 1.8652 12.9970
1.8652 -1.8652 12.9970
1.8652 1.8652 -12.9970
! - space group = No. 139
! - ΔE to the lowest computed polymorph (kJ/mol of atoms) = 0.00

---

[2]
! PBE Ac12Tb3Pr, optimized geometry; values from VASP
&SYSTEM
  ibrav = 0, nat = 16, ntyp = 3
/
ATOMIC_SPECIES
Ac 227.00 Ac.upf
Tb 158.93 Tb.upf
Pr 140.91 Pr.upf
ATOMIC_POSITIONS angstrom
Ac 0.0000 0.0000 0.0000
Ac 0.0000 0.0000 5.4697
Ac 0.0000 0.0000 10.9986
Ac 0.0000 0.0000 16.5276
Ac 0.0000 2.7543 2.7342
Ac 0.0000 2.7543 8.2114
Ac 0.0000 2.7543 13.7859
Ac 0.0000 2.7543 19.2631
Ac 2.7543 0.0000 2.7342
Ac 2.7543 0.0000 8.2114
Ac 2.7543 0.0000 13.7859
Ac 2.7543 0.0000 19.2631
Tb 2.7543 2.7543 0.0000
Tb 2.7543 2.7543 5.4699
Tb 2.7543 2.7543 16.5273
Pr 2.7543 2.7543 10.9986
CELL_PARAMETERS angstrom
5.5085 0.0000 0.0000
0.0000 5.5085 0.0000
0.0000 0.0000 21.9973
! - space group = No. 123
! - E_tot (eV per atom) = -4.217

---

[3]
! PBE AcTbPr2, optimized geometry; values from VASP
&SYSTEM
  ibrav = 0, nat = 4, ntyp = 3
/
ATOMIC_SPECIES
Ac 227.00 Ac.upf
Tb 158.93 Tb.upf
Pr 140.91 Pr.upf
ATOMIC_POSITIONS angstrom
Ac 0.0000 0.0000 0.0000
Tb 0.0000 0.0000 30.4725
Pr 0.0000 0.0000 8.9918
Pr 0.0000 0.0000 15.3696
CELL_PARAMETERS angstrom
1.8797 1.0853 12.1914
-1.8797 1.0853 12.1914
0.0000 -2.1705 12.1914
! - space group = No. 160
! - ΔE to the lowest computed polymorph (kJ/mol of atoms) = 1.31

---

[4]
! PBE Ac3TbPr4, optimized geometry; values from VASP
&SYSTEM
  ibrav = 0, nat = 16, ntyp = 3
/
ATOMIC_SPECIES
Ac 227.00 Ac.upf
Tb 158.93 Tb.upf
Pr 140.91 Pr.upf
ATOMIC_POSITIONS angstrom
Ac 1.3448 0.0453 1.4066
Ac 1.3448 2.6852 9.3318
Ac 1.3448 5.3252 1.4066
Ac 4.0343 5.4158 9.3238
Ac 4.0343 8.0557 1.3985
Ac 4.0343 10.6957 9.3238
Tb 1.3448 8.0557 9.2876
Tb 4.0343 2.6852 1.4427
Pr 1.3448 2.6852 4.0641
Pr 1.3448 5.4144 6.6458
Pr 1.3448 8.0557 4.1115
Pr 1.3448 10.6971 6.6458
Pr 4.0343 0.0439 4.0845
Pr 4.0343 2.6852 6.6188
Pr 4.0343 5.3266 4.0845
Pr 4.0343 8.0557 6.6662
CELL_PARAMETERS angstrom
5.3791 0.0000 0.0000
0.0000 10.7410 0.0000
0.0000 0.0000 10.7303
! - space group = No. 59
! - E_tot (eV per atom) = -4.478

---

[5]
! PBE Ac2TbPr4, optimized geometry; values from VASP
&SYSTEM
  ibrav = 0, nat = 14, ntyp = 3
/
ATOMIC_SPECIES
Ac 227.00 Ac.upf
Tb 158.93 Tb.upf
Pr 140.91 Pr.upf
ATOMIC_POSITIONS angstrom
Ac 0.0000 0.0000 0.0000
Ac 1.9204 7.3257 3.7036
Ac 3.7786 0.0000 0.0000
Ac 7.5565 4.2280 4.8894
Tb 1.9273 2.1675 2.4496
Tb 7.5496 9.3862 6.1433
Pr 1.9154 6.4433 7.3793
Pr 3.8397 9.4006 6.1292
Pr 3.7995 5.0947 1.2646
Pr 3.7930 4.2372 4.9199
Pr 5.6839 7.3166 3.6731
Pr 5.6774 6.4590 7.3284
Pr 5.6372 2.1531 2.4638
Pr 7.5615 5.1105 1.2137
CELL_PARAMETERS angstrom
7.5573 0.0000 0.0000
1.8975 8.1849 0.0000
0.0221 3.3688 8.5930
! - space group = No. 2
! - ΔE to the lowest computed polymorph (kJ/mol of atoms) = 0.00

---

[6]
! PBE Ac4TbPr2, optimized geometry; values from VASP
&SYSTEM
  ibrav = 0, nat = 7, ntyp = 3
/
ATOMIC_SPECIES
Ac 227.00 Ac.upf
Tb 158.93 Tb.upf
Pr 140.91 Pr.upf
ATOMIC_POSITIONS angstrom
Ac 3.1395 10.4054 0.0000
Ac 3.1395 3.3415 1.8774
Ac 3.1395 -3.3415 1.8774
Ac 3.1395 -10.4054 0.0000
Tb 3.1395 0.0000 0.0000
Pr 3.1395 7.0389 1.8774
Pr 3.1395 -7.0389 1.8774
CELL_PARAMETERS angstrom
3.1395 -12.3193 0.0000
3.1395 12.3193 0.0000
0.0000 0.0000 3.7548
! - space group = No. 65
! - E_tot (eV per atom) = -4.160

---

no.,mass density (kg/m³)
1,7590
2,8313
3,7431
4,7519
5,7351
6,7711